Version w
PaGeP, relaxed, DFT PBE; Fermi-level density of states = 2.79 states/eV/cell
1.0
4.249 0.000 0.000
-2.125 3.680 0.000
0.000 0.000 3.727
Pa Ge P
1 1 1
Direct
0.000 0.000 0.000 Pa
0.667 0.333 0.500 Ge
0.333 0.667 0.500 P


Version x
PaGeP, relaxed, DFT PBE; Fermi-level density of states = 3.52 states/eV/cell
1.0
-1.963 1.963 7.974
1.963 -1.963 7.974
1.963 1.963 -7.974
Pa Ge P
2 2 2
Direct
0.147 0.147 0.000 Pa
0.853 0.853 0.000 Pa
0.000 0.500 0.500 Ge
0.500 0.000 0.500 Ge
0.322 0.322 0.000 P
0.678 0.678 0.000 P


Version y
PaGeP, relaxed, DFT PBE; Fermi-level density of states = 7.10 states/eV/cell
1.0
2.248 1.298 8.376
-2.248 1.298 8.376
0.000 -2.596 8.376
Pa Ge P
2 2 2
Direct
0.236 0.236 0.236 Pa
0.764 0.764 0.764 Pa
0.352 0.352 0.352 Ge
0.648 0.648 0.648 Ge
0.125 0.125 0.125 P
0.875 0.875 0.875 P


The relative energies come out as version w 0.372; version x 0.000; version y 0.360, with values in eV/atom.